Entry 1:
Compound: ReTc3
Source: Alexandria
Functional: GGA-PBEsol
Structure: relaxed

Offset from the most stable computed form   74.0 meV per atom
DFT formation energy   0.067 eV per atom

a b c (Å): 2.7162 4.7093 4.7094
angles (deg): 109.65 90.00 90.00
With the nearest neighbours (Å) after each atom.
Sites, in units of the cell vectors:
Tc: 0.5000 0.0000 0.5000  8 Tc 2.71-2.72, 4 Re 2.72
Tc: 0.0000 0.5000 0.5000  2 Re 2.71, 10 Tc 2.72
Tc: 0.5000 0.5000 0.0000  8 Tc 2.71-2.72, 4 Re 2.72
Re: 0.0000 0.0000 0.0000  10 Tc 2.71-2.72, 2 Re 2.72

Entry 2:
Compound: Re3Tc5
Source: Alexandria
Functional: GGA-PBEsol
Structure: relaxed

DFT formation energy   0.065 eV per atom

a b c (Å): 3.8430 5.4495 5.4495
angles (deg): 90.04 90.00 90.00
With the nearest neighbours (Å) after each atom.
Sites, in units of the cell vectors:
Re: 0.5000 0.7509 0.2491  10 Tc 2.71-2.74, 2 Re 2.73
Re: 0.0000 0.5000 0.5000  8 Tc 2.72-2.73, 4 Re 2.73
Re: 0.5000 0.2491 0.7509  10 Tc 2.71-2.74, 2 Re 2.73
Tc: 0.0000 0.0000 0.5000  6 Re 2.72, 6 Tc 2.72
Tc: 0.5000 0.2490 0.2490  6 Re 2.71-2.74, 6 Tc 2.72
Tc: 0.0000 0.5000 0.0000  6 Re 2.72, 6 Tc 2.72
Tc: 0.5000 0.7510 0.7510  6 Re 2.71-2.74, 6 Tc 2.72
Tc: 0.0000 0.0000 0.0000  8 Tc 2.72, 4 Re 2.72

Entry 3:
Compound: Re3Tc
Source: Alexandria
Functional: GGA-PBEsol
Structure: relaxed

Offset from the most stable computed form   71.2 meV per atom
DFT formation energy   0.067 eV per atom

a b c (Å): 2.7322 2.7322 7.7653
angles (deg): 90.00 90.00 90.00
With the nearest neighbours (Å) after each atom.
Sites, in units of the cell vectors:
Re: 0.0000 0.0000 0.2514  4 Tc 2.73, 8 Re 2.73-2.75
Re: 0.5000 0.5000 0.0000  12 Re 2.73-2.75
Re: 0.0000 0.0000 0.7486  4 Tc 2.73, 8 Re 2.73-2.75
Tc: 0.5000 0.5000 0.5000  8 Re 2.73, 4 Tc 2.73

Entry 4:
Compound: ReTc2
Source: Alexandria
Functional: GGA-PBEsol
Structure: relaxed

Offset from the most stable computed form   0.0 meV per atom
DFT formation energy   -0.003 eV per atom

a b c (Å): 2.7293 5.1667 6.4556
angles (deg): 103.93 90.00 105.25
With the nearest neighbours (Å) after each atom.
Sites, in units of the cell vectors:
Re: 0.9990 0.9981 0.9984  8 Tc 2.68-2.72, 4 Re 2.73-2.74
Re: 0.6671 0.3336 0.3328  8 Tc 2.69-2.74, 4 Re 2.73-2.74
Tc: 0.3332 0.6662 0.6668  8 Tc 2.69-2.73, 4 Re 2.72-2.74
Tc: 0.3884 0.7774 0.2796  7 Tc 2.69-2.74, 5 Re 2.69-2.71
Tc: 0.7231 0.4465 0.9435  4 Re 2.68-2.72, 8 Tc 2.69-2.74
Tc: 0.0556 0.1116 0.6122  3 Re 2.69-2.71, 9 Tc 2.70-2.73

Entry 5:
Compound: Re4Tc5
Source: Alexandria
Functional: GGA-PBEsol
Structure: relaxed

DFT formation energy   0.066 eV per atom

a b c (Å): 3.8529 6.0935 6.0935
angles (deg): 84.26 71.57 71.57
With the nearest neighbours (Å) after each atom.
Sites, in units of the cell vectors:
Re: 0.0000 0.6681 0.3319  7 Tc 2.71-2.73, 5 Re 2.74-2.75
Re: 0.3319 0.6681 0.6681  7 Tc 2.71-2.73, 5 Re 2.74-2.75
Re: 0.0000 0.3319 0.6681  7 Tc 2.71-2.73, 5 Re 2.74-2.75
Re: 0.6681 0.3319 0.3319  7 Tc 2.71-2.73, 5 Re 2.74-2.75
Tc: 0.6661 0.6678 0.0000  6 Tc 2.72-2.73, 6 Re 2.72-2.73
Tc: 0.6661 0.0000 0.6678  6 Tc 2.72-2.73, 6 Re 2.72-2.73
Tc: 0.3339 0.3322 0.0000  6 Tc 2.72-2.73, 6 Re 2.72-2.73
Tc: 0.3339 0.0000 0.3322  6 Tc 2.72-2.73, 6 Re 2.72-2.73
Tc: 0.0000 0.0000 0.0000  4 Re 2.71, 8 Tc 2.72

Entry 6:
Compound: ReTc3
Source: Alexandria
Functional: GGA-PBEsol
Structure: relaxed

Offset from the most stable computed form   77.3 meV per atom
DFT formation energy   0.070 eV per atom

a b c (Å): 2.7177 2.7177 7.6789
angles (deg): 90.00 90.00 90.00
With the nearest neighbours (Å) after each atom.
Sites, in units of the cell vectors:
Re: 0.0000 0.0000 0.0000  4 Re 2.72, 8 Tc 2.72
Tc: 0.0000 0.0000 0.5000  12 Tc 2.71-2.72
Tc: 0.5000 0.5000 0.7488  8 Tc 2.71-2.72, 4 Re 2.72
Tc: 0.5000 0.5000 0.2511  8 Tc 2.71-2.72, 4 Re 2.72

Entry 7:
Compound: ReTc3
Source: Alexandria
Functional: GGA-PBEsol
Structure: relaxed

Offset from the most stable computed form   3.9 meV per atom
DFT formation energy   -0.003 eV per atom

a b c (Å): 2.7271 4.3808 4.7297
angles (deg): 90.00 90.00 90.00
With the nearest neighbours (Å) after each atom.
Sites, in units of the cell vectors:
Tc: 0.0000 0.5000 0.3336  2 Re 2.70, 10 Tc 2.70-2.74
Tc: 0.5000 0.5000 0.8323  8 Tc 2.70-2.74, 4 Re 2.70
Tc: 0.5000 0.0000 0.4994  8 Tc 2.70-2.73, 4 Re 2.72-2.74
Re: 0.0000 0.0000 0.0015  10 Tc 2.70-2.74, 2 Re 2.73

Entry 8:
Compound: Re2Tc3
Source: Alexandria
Functional: GGA-PBEsol
Structure: relaxed

Offset from the most stable computed form   0.0 meV per atom
DFT formation energy   0.065 eV per atom

a b c (Å): 2.7251 2.7251 11.2166
angles (deg): 83.02 83.02 60.00
With the nearest neighbours (Å) after each atom.
Sites, in units of the cell vectors:
Tc: 0.1994 0.1994 0.4019  9 Tc 2.69-2.73, 3 Re 2.74
Tc: 0.0000 0.0000 0.0000  6 Re 2.72, 6 Tc 2.73
Tc: 0.8006 0.8006 0.5981  9 Tc 2.69-2.73, 3 Re 2.74
Re: 0.6000 0.6000 0.2000  6 Tc 2.72-2.74, 6 Re 2.73
Re: 0.4000 0.4000 0.8000  6 Tc 2.72-2.74, 6 Re 2.73

Entry 9:
Compound: ReTc3
Source: Alexandria
Functional: GGA-PBEsol
Structure: relaxed

Offset from the most stable computed form   75.2 meV per atom
DFT formation energy   0.068 eV per atom

a b c (Å): 3.8427 3.8427 3.8427
angles (deg): 90.00 90.00 90.00
With the nearest neighbours (Å) after each atom.
Sites, in units of the cell vectors:
Tc: 0.5000 0.0000 0.5000  4 Re 2.72, 8 Tc 2.72
Tc: 0.0000 0.5000 0.5000  4 Re 2.72, 8 Tc 2.72
Tc: 0.5000 0.5000 0.0000  4 Re 2.72, 8 Tc 2.72
Re: 0.0000 0.0000 0.0000  12 Tc 2.72

Entry 10:
Compound: ReTc3
Source: Alexandria
Functional: GGA-PBEsol
Structure: relaxed

Offset from the most stable computed form   3.4 meV per atom
DFT formation energy   -0.004 eV per atom

a b c (Å): 2.7278 4.7304 5.1590
angles (deg): 117.29 105.33 90.00
With the nearest neighbours (Å) after each atom.
Sites, in units of the cell vectors:
Tc: 0.5000 0.5010 0.0000  8 Tc 2.69-2.73, 4 Re 2.72-2.74
Tc: 0.2491 0.9161 0.4982  3 Re 2.69-2.71, 9 Tc 2.69-2.73
Tc: 0.7509 0.4179 0.5018  3 Re 2.69-2.71, 9 Tc 2.69-2.73
Re: 0.0000 0.9983 0.0000  10 Tc 2.69-2.74, 2 Re 2.73

Entry 11:
Compound: Re2Tc
Source: Alexandria
Functional: GGA-PBEsol
Structure: relaxed

Offset from the most stable computed form   67.2 meV per atom
DFT formation energy   0.064 eV per atom

a b c (Å): 2.7345 2.7345 6.6966
angles (deg): 90.00 90.00 120.00
With the nearest neighbours (Å) after each atom.
Sites, in units of the cell vectors:
Re: 0.6667 0.3333 0.3313  3 Tc 2.72, 9 Re 2.73-2.76
Re: 0.3333 0.6667 0.6687  3 Tc 2.72, 9 Re 2.73-2.76
Tc: 0.0000 0.0000 0.0000  6 Re 2.72, 6 Tc 2.73

Entry 12:
Compound: Re5Tc
Source: Alexandria
Functional: GGA-PBEsol
Structure: relaxed

Offset from the most stable computed form   69.0 meV per atom
DFT formation energy   0.067 eV per atom

a b c (Å): 2.7377 2.7377 11.6370
angles (deg): 90.00 90.00 90.00
With the nearest neighbours (Å) after each atom.
Sites, in units of the cell vectors:
Tc: 0.5000 0.5000 0.0000  8 Re 2.73, 4 Tc 2.74
Re: 0.0000 0.0000 0.8348  4 Tc 2.73, 8 Re 2.74-2.75
Re: 0.5000 0.5000 0.3329  12 Re 2.74-2.75
Re: 0.0000 0.0000 0.5000  12 Re 2.74
Re: 0.0000 0.0000 0.1652  4 Tc 2.73, 8 Re 2.74-2.75
Re: 0.5000 0.5000 0.6671  12 Re 2.74-2.75

Number 1: raw total energy -11.72 eV per atom. Number 2: raw total energy -11.98 eV per atom. Number 3: raw total energy -12.75 eV per atom. Number 4: raw total energy -11.96 eV per atom. Number 5: raw total energy -12.12 eV per atom. Number 6: raw total energy -11.71 eV per atom. Number 7: raw total energy -11.79 eV per atom. Number 8: raw total energy -12.03 eV per atom. Number 9: raw total energy -11.71 eV per atom. Number 10: raw total energy -11.79 eV per atom. Number 11: raw total energy -12.58 eV per atom. Number 12: raw total energy -12.92 eV per atom.